Entry 1:
# Mg2TiPS

A relaxed Mg2TiPS crystal (PBE, Alexandria via LeMat-Bulk).

Summary:
Its uncorrected formation energy is 0.299 eV per atom. Its symmetry is No. 123. As for the density of states at the Fermi level: 2.78 states/eV/f.u.

```
Mg2TiPS
1.0
4.6269 0.0000 0.0000
0.0000 4.6269 0.0000
0.0000 0.0000 5.0461
Mg Ti P S
2 1 1 1
direct
0.0000 0.5000 0.0000
0.5000 0.0000 0.0000
0.0000 0.0000 0.5000
0.5000 0.5000 0.5000
0.5000 0.5000 0.0000
```



Entry 2:
# RbLaS2Cl

A relaxed RbLaS2Cl crystal (PBE, Alexandria via LeMat-Bulk).

Summary:
The energy above the most stable polymorph in this dataset is 0 meV per atom. Its uncorrected formation energy is -1.535 eV per atom. Its symmetry is No. 123. As for the density of states at the Fermi level: 4.23 states/eV/f.u.

```
RbLaS2Cl
1.0
5.5320 0.0000 0.0000
0.0000 5.5320 0.0000
0.0000 0.0000 5.7260
Rb La S Cl
1 1 2 1
direct
0.0000 0.0000 0.0000
0.5000 0.5000 0.5000
0.0000 0.5000 0.5000
0.5000 0.0000 0.5000
0.5000 0.5000 0.0000
```



Entry 3:
# La2TbHg

A relaxed La2TbHg crystal (PBE, Alexandria via LeMat-Bulk).

Summary:
The energy above the most stable polymorph in this dataset is 106 meV per atom. For the formation energy, the calculation gives -0.54 eV/f.u. Its symmetry is No. 160. As for the density of states at the Fermi level: 5.21 states/eV/f.u.

```
La2TbHg
1.0
3.7453 0.0000 0.0000
-1.8727 3.2435 0.0000
0.0000 0.0000 32.8073
La Tb Hg
6 3 3
direct
0.0000 0.0000 0.0000
0.0000 0.0000 0.1772
0.3333 0.6667 0.6667
0.3333 0.6667 0.8439
0.6667 0.3333 0.3333
0.6667 0.3333 0.5106
0.0000 0.0000 0.7558
0.3333 0.6667 0.4224
0.6667 0.3333 0.0891
0.0000 0.0000 0.5882
0.3333 0.6667 0.2548
0.6667 0.3333 0.9215
```



Entry 4:
# Mg6HgRh

A relaxed Mg6HgRh crystal (PBE, Alexandria via LeMat-Bulk).

Summary:
The energy above the most stable polymorph in this dataset is 187 meV per atom. For the formation energy, the calculation gives -0.14 eV/f.u. Its symmetry is No. 12. As for the density of states at the Fermi level: 3.71 states/eV/f.u.

```
Mg6HgRh
1.0
6.2428 0.0000 0.0000
0.0000 10.3880 0.0000
-2.5594 0.0000 5.6238
Mg Hg Rh
12 2 2
direct
0.2268 0.2026 0.2368
0.2268 0.7974 0.2368
0.2384 0.0000 0.7605
0.2616 0.5000 0.2395
0.2732 0.2974 0.7632
0.2732 0.7026 0.7632
0.7268 0.2974 0.2368
0.7268 0.7026 0.2368
0.7384 0.5000 0.7605
0.7616 0.0000 0.2395
0.7732 0.2026 0.7632
0.7732 0.7974 0.7632
0.0000 0.5000 0.5000
0.5000 0.0000 0.5000
0.0000 0.0000 0.0000
0.5000 0.5000 0.0000
```